No. 1
Here is crystalline Ta2MnNbI at its relaxed geometry from Alexandria via LeMat-Bulk. Energies are from PBE.

Unit cell a=4.959 b=4.959 c=4.938 alpha=90.00 beta=90.00 gamma=90.00
Atoms (fractional coordinates):
1 Ta 0.000 0.500 0.000
2 Ta 0.500 0.000 0.000
3 Mn 0.000 0.000 0.500
4 Nb 0.500 0.500 0.500
5 I 0.500 0.500 0.000

Values from the calculation:
DOS at the Fermi energy: 2.1050 states/eV per atom
Space-group type: No. 123
Energy: -31.91 eV per formula unit
Total magnetization: 0.866 μB/f.u.
Crystal system: tetragonal

=====

No. 2
Here is crystalline TmAlIr at its relaxed geometry from Alexandria via LeMat-Bulk. Energies are from PBE.

Unit cell a=8.161 b=6.987 c=6.742 alpha=72.92 beta=54.92 gamma=52.16
Atoms (fractional coordinates):
1 Tm 0.000 0.000 0.000
2 Tm 0.000 0.000 0.500
3 Tm 0.000 0.500 0.000
4 Tm 0.500 0.000 0.000
5 Al 0.250 0.500 0.250
6 Al 0.500 0.250 0.500
7 Al 0.500 0.750 0.500
8 Al 0.750 0.500 0.750
9 Ir 0.195 0.195 0.555
10 Ir 0.445 0.445 0.805
11 Ir 0.555 0.555 0.195
12 Ir 0.805 0.805 0.445

Values from the calculation:
Formation enthalpy at 0 K: -2.07 eV/f.u.
DOS at the Fermi energy: 0.4315 states/eV per atom
Space-group type: No. 70
Energy: -19.14 eV per formula unit
Total magnetization: 0.000 μB/f.u.
Crystal system: orthorhombic

=====

No. 3
Here is crystalline Ti5Ir4Pt at its relaxed geometry from Alexandria via LeMat-Bulk. Energies are from PBE.

Unit cell a=2.907 b=2.907 c=17.986 alpha=90.00 beta=90.00 gamma=90.00
Atoms (fractional coordinates):
1 Ti 0.000 0.000 0.000
2 Ti 0.000 0.000 0.197
3 Ti 0.000 0.000 0.393
4 Ti 0.000 0.000 0.607
5 Ti 0.000 0.000 0.803
6 Ir 0.500 0.500 0.099
7 Ir 0.500 0.500 0.295
8 Ir 0.500 0.500 0.705
9 Ir 0.500 0.500 0.901
10 Pt 0.500 0.500 0.500

Values from the calculation:
Formation enthalpy at 0 K: -8.62 eV/f.u.
DOS at the Fermi energy: 0.8654 states/eV per atom
Space-group type: No. 123
Energy: -89.58 eV per formula unit
Total magnetization: 0.000 μB/f.u.
Crystal system: tetragonal

=====

No. 4
Here is crystalline Tb4Pm2Sm2Tm at its relaxed geometry from Alexandria via LeMat-Bulk. Energies are from PBE.

Unit cell a=9.563 b=9.563 c=9.627 alpha=115.19 beta=115.19 gamma=21.81
Atoms (fractional coordinates):
1 Tb 0.019 0.019 0.331
2 Tb 0.315 0.315 0.666
3 Tb 0.685 0.685 0.334
4 Tb 0.981 0.981 0.669
5 Pm 0.165 0.165 0.000
6 Pm 0.835 0.835 0.000
7 Sm 0.353 0.353 0.336
8 Sm 0.647 0.647 0.664
9 Tm 0.500 0.500 0.000

Values from the calculation:
Formation enthalpy at 0 K: 0.04 eV/f.u.
DOS at the Fermi energy: 1.3079 states/eV per atom
Space-group type: No. 12
Energy: -41.89 eV per formula unit
Total magnetization: 0.000 μB/f.u.
Crystal system: monoclinic

=====

No. 5
Here is crystalline NiAsIr3 at its relaxed geometry from Alexandria via LeMat-Bulk. Energies are from PBE.

Unit cell a=4.482 b=4.482 c=4.482 alpha=90.00 beta=90.00 gamma=90.00
Atoms (fractional coordinates):
1 Ni 0.000 0.000 0.000
2 As 0.500 0.500 0.500
3 Ir 0.000 0.000 0.500
4 Ir 0.000 0.500 0.000
5 Ir 0.500 0.000 0.000

Values from the calculation:
Distance to the lowest polymorph of the same formula: 0.91 eV/f.u.
Formation enthalpy at 0 K: 7.62 eV/f.u.
DOS at the Fermi energy: 2.2043 states/eV per atom
Space-group type: No. 221
Energy: -29.39 eV per formula unit
Total magnetization: 2.075 μB/f.u.
Crystal system: cubic

=====

No. 6
Here is crystalline AuI2BrN at its relaxed geometry from Alexandria via LeMat-Bulk. Energies are from PBE.

Unit cell a=6.265 b=6.265 c=3.728 alpha=90.00 beta=90.00 gamma=90.00
Atoms (fractional coordinates):
1 Au 0.000 0.000 0.000
2 I 0.000 0.500 0.000
3 I 0.500 0.000 0.000
4 Br 0.500 0.500 0.500
5 N 0.000 0.000 0.500

Values from the calculation:
Distance to the lowest polymorph of the same formula: 0.00 eV/f.u.
DOS at the Fermi energy: 1.5978 states/eV per atom
Space-group type: No. 123
Energy: -11.64 eV per formula unit
Total magnetization: 0.077 μB/f.u.
Crystal system: tetragonal

=====

No. 7
Here is crystalline Dy2Hg2Au at its relaxed geometry from Alexandria via LeMat-Bulk. Energies are from PBE.

Unit cell a=7.842 b=7.842 c=7.842 alpha=129.38 beta=70.21 gamma=134.76
Atoms (fractional coordinates):
1 Dy 0.160 0.218 0.378
2 Dy 0.340 0.718 0.058
3 Dy 0.660 0.282 0.942
4 Dy 0.840 0.782 0.622
5 Hg 0.101 0.654 0.755
6 Hg 0.399 0.154 0.553
7 Hg 0.601 0.846 0.447
8 Hg 0.899 0.346 0.245
9 Au 0.250 0.250 0.000
10 Au 0.750 0.750 0.000

Values from the calculation:
Distance to the lowest polymorph of the same formula: 0.41 eV/f.u.
Formation enthalpy at 0 K: -2.07 eV/f.u.
DOS at the Fermi energy: 0.6746 states/eV per atom
Space-group type: No. 72
Energy: -15.16 eV per formula unit
Total magnetization: 0.000 μB/f.u.
Crystal system: orthorhombic

=====

No. 8
Here is crystalline Sr2SiAuI at its relaxed geometry from Alexandria via LeMat-Bulk. Energies are from PBE.

Unit cell a=6.171 b=6.171 c=5.256 alpha=90.00 beta=90.00 gamma=90.00
Atoms (fractional coordinates):
1 Sr 0.000 0.500 0.000
2 Sr 0.500 0.000 0.000
3 Si 0.000 0.000 0.500
4 Au 0.500 0.500 0.500
5 I 0.000 0.000 0.000

Values from the calculation:
DOS at the Fermi energy: 0.6325 states/eV per atom
Space-group type: No. 123
Energy: -12.45 eV per formula unit
Total magnetization: 0.000 μB/f.u.
Crystal system: tetragonal

=====

No. 9
Here is crystalline ErAgTe2 at its relaxed geometry from Alexandria via LeMat-Bulk. Energies are from PBE.

Unit cell a=8.182 b=8.182 c=8.182 alpha=33.66 beta=33.66 gamma=33.66
Atoms (fractional coordinates):
1 Er 0.000 0.000 0.000
2 Ag 0.562 0.562 0.562
3 Te 0.385 0.385 0.385
4 Te 0.876 0.876 0.876

Values from the calculation:
Space-group type: No. 160
Energy: -16.48 eV per formula unit
Total magnetization: 0.000 μB/f.u.
Crystal system: trigonal

=====

No. 10
Here is crystalline VNCl2 at its relaxed geometry from Alexandria via LeMat-Bulk. Energies are from PBE.

Unit cell a=4.427 b=4.427 c=4.427 alpha=60.00 beta=60.00 gamma=60.00
Atoms (fractional coordinates):
1 V 0.000 0.000 0.000
2 N 0.500 0.500 0.500
3 Cl 0.250 0.250 0.250
4 Cl 0.750 0.750 0.750

Values from the calculation:
Distance to the lowest polymorph of the same formula: 1.51 eV/f.u.
DOS at the Fermi energy: 0.7785 states/eV per atom
Space-group type: No. 225
Energy: -17.83 eV per formula unit
Total magnetization: 0.000 μB/f.u.
Crystal system: cubic

=====

No. 11
Here is crystalline Ce3Cd2Sn3 at its relaxed geometry from Alexandria via LeMat-Bulk. Energies are from PBE.

Unit cell a=10.439 b=10.439 c=10.439 alpha=154.76 beta=153.88 gamma=36.64
Atoms (fractional coordinates):
1 Ce 0.000 0.000 0.000
2 Ce 0.371 0.871 0.500
3 Ce 0.629 0.129 0.500
4 Cd 0.251 0.251 0.000
5 Cd 0.749 0.749 0.000
6 Sn 0.133 0.633 0.500
7 Sn 0.500 0.500 0.000
8 Sn 0.867 0.367 0.500

Values from the calculation:
Formation enthalpy at 0 K: -3.37 eV/f.u.
DOS at the Fermi energy: 2.2315 states/eV per atom
Space-group type: No. 71
Energy: -35.01 eV per formula unit
Total magnetization: 3.314 μB/f.u.
Crystal system: orthorhombic

=====

No. 12
Here is crystalline AlZn2Cu at its relaxed geometry from Alexandria via LeMat-Bulk. Energies are from PBE.

Unit cell a=5.323 b=5.323 c=2.781 alpha=104.46 beta=104.46 gamma=120.63
Atoms (fractional coordinates):
1 Al 0.000 0.000 0.000
2 Zn 0.000 0.500 0.000
3 Zn 0.500 0.000 0.000
4 Cu 0.500 0.500 0.000

Values from the calculation:
Formation enthalpy at 0 K: -0.06 eV/f.u.
DOS at the Fermi energy: 0.2269 states/eV per atom
Space-group type: No. 12
Energy: -10.44 eV per formula unit
Total magnetization: 0.000 μB/f.u.
Crystal system: monoclinic